## Pr6Co2HI3 (GGA-PBE)

Data for a geometry-optimized Pr6Co2HI3 structure.

abc: 7.059 7.059 8.454
angles: 98.18 98.18 119.50
Sites, in units of the cell vectors:
Pr (0.098, 0.441, 0.819)
Pr (0.216, 0.216, 0.183)
Pr (0.441, 0.098, 0.819)
Pr (0.559, 0.902, 0.181)
Pr (0.784, 0.784, 0.817)
Pr (0.902, 0.559, 0.181)
Co (0.166, 0.834, 0.000)
Co (0.834, 0.166, 0.000)
H (0.500, 0.500, 0.000)
I (0.000, 0.000, 0.500)
I (0.332, 0.668, 0.500)
I (0.668, 0.332, 0.500)

E	-4.8335	eV/atom
density of states at the Fermi level	8.9	states/eV/f.u.


## YHo5Tm6 (GGA-PBE)

Data for a geometry-optimized YHo5Tm6 structure.

abc: 6.077 6.077 11.630
angles: 94.99 94.99 119.93
Sites, in units of the cell vectors:
Y (0.000, 0.000, 0.000)
Ho (0.167, 0.833, 0.500)
Ho (0.333, 0.667, 0.000)
Ho (0.500, 0.500, 0.500)
Ho (0.667, 0.333, 0.000)
Ho (0.833, 0.167, 0.500)
Tm (0.083, 0.417, 0.251)
Tm (0.251, 0.251, 0.749)
Tm (0.417, 0.083, 0.251)
Tm (0.583, 0.917, 0.749)
Tm (0.749, 0.749, 0.251)
Tm (0.917, 0.583, 0.749)

formation energy	0.02	eV/atom
density of states at the Fermi level	17.1	states/eV/f.u.


## LiHgOs (GGA-PBE)

Data for a geometry-optimized LiHgOs structure.

abc: 4.980 4.980 4.980
angles: 149.18 128.36 61.35
Sites, in units of the cell vectors:
Li (0.000, 0.000, 0.000)
Hg (0.330, 0.330, 0.000)
Os (0.660, 0.660, 0.000)

formation energy	0.55	eV/atom
density of states at the Fermi level	1.5	states/eV/f.u.
E above lowest polymorph	126	meV per atom


## K2Al (GGA-PBE)

Data for a geometry-optimized K2Al structure.

abc: 6.432 6.432 3.526
angles: 90.00 90.00 90.00
Sites, in units of the cell vectors:
K (0.000, 0.500, 0.000)
K (0.500, 0.000, 0.000)
Al (0.000, 0.000, 0.500)

formation energy	0.36	eV/atom
density of states at the Fermi level	1.7	states/eV/f.u.
E above lowest polymorph	222	meV per atom


## Pm2EuEr (GGA-PBE)

Data for a geometry-optimized Pm2EuEr structure.

abc: 3.655 3.655 10.395
angles: 90.00 90.00 90.00
Sites, in units of the cell vectors:
Pm (0.000, 0.000, 0.234)
Pm (0.000, 0.000, 0.766)
Eu (0.500, 0.500, 0.500)
Er (0.500, 0.500, 0.000)

formation energy	0.04	eV/atom
density of states at the Fermi level	5.2	states/eV/f.u.
E above lowest polymorph	0	meV per atom


## Ba2GaPbO (GGA-PBE)

Data for a geometry-optimized Ba2GaPbO structure.

abc: 6.969 4.732 10.421
angles: 90.00 107.73 90.00
Sites, in units of the cell vectors:
Ba (0.211, 0.250, 0.438)
Ba (0.244, 0.750, 0.034)
Ba (0.756, 0.250, 0.966)
Ba (0.789, 0.750, 0.562)
Ga (0.156, 0.250, 0.753)
Ga (0.844, 0.750, 0.247)
Pb (0.373, 0.750, 0.709)
Pb (0.627, 0.250, 0.291)
O (0.104, 0.250, 0.922)
O (0.896, 0.750, 0.078)

raw formation energy	-1178	meV per atom
density of states at the Fermi level	2.2	states/eV/f.u.


## MgCdPb (GGA-PBE)

Data for a geometry-optimized MgCdPb structure.

abc: 5.610 5.610 8.502
angles: 93.62 93.62 36.36
Sites, in units of the cell vectors:
Mg (0.139, 0.139, 0.419)
Mg (0.861, 0.861, 0.581)
Cd (0.138, 0.138, 0.065)
Cd (0.862, 0.862, 0.935)
Pb (0.407, 0.407, 0.267)
Pb (0.593, 0.593, 0.733)

formation energy	0.01	eV/atom
density of states at the Fermi level	0.9	states/eV/f.u.


## Cs3Ba2IrO6 (GGA-PBE)

Data for a geometry-optimized Cs3Ba2IrO6 structure.

abc: 6.554 6.554 7.067
angles: 98.62 98.62 120.06
Sites, in units of the cell vectors:
Cs (0.000, 0.000, 0.000)
Cs (0.338, 0.662, 0.000)
Cs (0.662, 0.338, 0.000)
Ba (0.167, 0.833, 0.500)
Ba (0.833, 0.167, 0.500)
Ir (0.500, 0.500, 0.500)
O (0.184, 0.442, 0.330)
O (0.296, 0.296, 0.677)
O (0.442, 0.184, 0.330)
O (0.558, 0.816, 0.670)
O (0.704, 0.704, 0.323)
O (0.816, 0.558, 0.670)

raw formation energy	-1499	meV per atom
density of states at the Fermi level	5.6	states/eV/f.u.